# 1
The following is a PBE calculation of an optimized crystal structure of Mn7Ag, from the Alexandria database.

Output
Calculated formation energy: 0.396 eV per atom
Total energy: -7.984 eV/atom
Calculated volume: 11.95 Å³ per atom
Size of the total moment: 4.50 μB/cell

```
8
Lattice="3.3119 -3.5843 -1.5890 -0.2917 -4.7718 1.8672 -1.6155 -3.8362 -3.0024" Properties=species:S:1:pos:R:3 pbc="T T T"
Mn -0.1459 -2.3859 0.9336
Ag 0.0000 0.0000 0.0000
Mn 1.6560 -1.7922 -0.7945
Mn -0.8078 -1.9181 -1.5012
Mn -0.9536 -4.3040 -0.5676
Mn 0.8482 -3.7103 -2.2957
Mn 0.7023 -6.0961 -1.3621
Mn 1.5101 -4.1780 0.1391
```

=====

# 2
The following is a PBE calculation of an optimized crystal structure of CsTl7Hg12, from the Alexandria database.

Output
Calculated formation energy: 0.040 eV per atom
Total energy: -1.012 eV/atom
Calculated volume: 36.89 Å³ per atom
Size of the total moment: 0.00 μB/cell
Energy above the lowest structure with this stoichiometry: 6.6 kJ per mole of atoms

```
20
Lattice="9.8595 0.0000 0.0000 -3.2865 9.2957 0.0000 -3.2865 -4.6478 8.0503" Properties=species:S:1:pos:R:3 pbc="T T T"
Hg 4.0437 0.8258 5.2254
Tl -3.2865 2.3239 4.0251
Hg 0.7572 -0.5354 4.7224
Hg -2.5293 -0.2904 6.1528
Hg 0.5693 6.5692 0.9274
Hg 5.8158 4.9382 1.8975
Hg 2.5293 5.1833 3.3279
Hg -0.7572 3.8220 2.8249
Hg 3.8558 2.1664 1.8975
Tl 4.9298 0.0000 0.0000
Hg 2.7172 -1.9213 7.1229
Tl 1.6433 2.3239 4.0251
Hg -0.5693 2.4814 6.1528
Tl 3.2865 -2.3239 4.0251
Tl -1.6433 -2.3239 4.0251
Hg 6.0037 -0.5601 2.8249
Tl -1.6433 4.6478 0.0000
Tl 3.2865 4.6478 0.0000
Cs 0.0000 0.0000 0.0000
Hg -2.7172 5.2079 5.2254
```

=====

# 3
The following is a PBE calculation of an optimized crystal structure of Na3NbCo, from the Alexandria database.

Output
Calculated formation energy: 1.869 eV per atom
Total energy: -2.358 eV/atom
Calculated volume: 40.69 Å³ per atom
Size of the total moment: 7.17 μB/cell

```
5
Lattice="5.8813 0.0000 0.0000 0.0000 5.8813 0.0000 0.0000 0.0000 5.8813" Properties=species:S:1:pos:R:3 pbc="T T T"
Na 0.0000 2.9407 0.0000
Na 2.9407 0.0000 0.0000
Co 2.9407 2.9407 2.9407
Na 0.0000 0.0000 2.9407
Nb 0.0000 0.0000 0.0000
```

=====

# 4
The following is a PBE calculation of an optimized crystal structure of Pr3DyY3, from the Alexandria database.

Output
Calculated formation energy: 0.258 eV per atom
Total energy: -5.218 eV/atom
Calculated volume: 34.43 Å³ per atom
Size of the total moment: 0.00 μB/cell
Energy above the lowest structure with this stoichiometry: 1.0 kJ per mole of atoms

```
7
Lattice="7.2185 0.0000 0.0000 -2.4062 6.2094 0.0000 -2.4062 -3.1047 5.3775" Properties=species:S:1:pos:R:3 pbc="T T T"
Dy 3.6192 0.0000 0.0000
Y 6.1067 -1.1363 1.9682
Pr 2.2514 2.7307 0.0000
Pr -2.5609 1.7394 3.0127
Pr 2.2514 -1.3653 2.3648
Y 1.2943 1.9684 3.4093
Y 6.1067 2.2727 0.0000
```

=====

# 5
The following is a PBE calculation of an optimized crystal structure of Tm2PuIr, from the Alexandria database.

Output
Calculated formation energy: -0.402 eV per atom
Total energy: -8.436 eV/atom
Calculated volume: 24.62 Å³ per atom
Size of the total moment: 6.59 μB/cell
Energy above the lowest structure with this stoichiometry: 0.0 kJ per mole of atoms

```
4
Lattice="-0.0481 3.1236 1.2871 -1.0759 -1.2344 2.9554 8.1763 -0.9392 2.5844" Properties=species:S:1:pos:R:3 pbc="T T T"
Ir -0.5620 0.9446 2.1213
Tm 1.5708 -0.1804 0.4965
Pu 3.5262 0.4750 3.4134
Tm 6.6055 -0.7587 2.0879
```

=====

# 6
The following is a PBE calculation of an optimized crystal structure of MgCdIn2Cu, from the Alexandria database.

Output
Calculated formation energy: 0.125 eV per atom
Total energy: -2.291 eV/atom
Calculated volume: 25.46 Å³ per atom
Size of the total moment: 0.00 μB/cell

```
5
Lattice="-4.8783 -0.7123 1.0349 -0.7104 -1.8586 -4.6278 1.0318 -4.6079 1.6922" Properties=species:S:1:pos:R:3 pbc="T T T"
In -0.3552 -0.9293 -2.3139
Cd -2.2784 -3.5894 -0.9504
In -2.4391 -0.3562 0.5174
Cu 0.0000 0.0000 0.0000
Mg 0.5159 -2.3039 0.8461
```